Entry one
LiSiW (PBE, optimized geometry); spin magnetization = 0.000 μB per formula unit; DOS at the Fermi energy = 0.7121 states/eV per atom
1.0
-2.6616 1.0104 2.9730
-1.2898 -2.1212 -3.2834
0.5479 -2.3049 1.2739
Li W Si
1 1 1
direct
0.0000 0.0000 0.1663
0.3333 0.6667 0.6664
0.6667 0.3333 0.1674

---

Entry two
LiSiW (PBE, optimized geometry); spin magnetization = 0.000 μB per formula unit; DOS at the Fermi energy = 0.4987 states/eV per atom
1.0
-0.6303 2.2587 1.5477
-1.7215 -2.2205 -0.0107
3.3552 -2.6262 5.1993
Li Si W
1 1 1
direct
0.0000 0.0000 0.0132
0.6667 0.3333 0.3398
0.3333 0.6667 0.6471

---

Entry three
LiSiW (PBE, optimized geometry); spin magnetization = 0.000 μB per formula unit; DOS at the Fermi energy = 0.4826 states/eV per atom
1.0
6.6785 0.0178 0.0000
5.6031 3.6342 0.0000
-6.1408 -1.8260 1.8864
Li W Si
1 1 1
direct
0.9943 0.9943 0.0000
0.6775 0.6775 0.0000
0.3282 0.3282 0.0000

---

Entry four
LiSiW (PBE, optimized geometry); spin magnetization = 0.000 μB per formula unit; DOS at the Fermi energy = 0.6651 states/eV per atom
1.0
6.8600 -0.0090 0.0069
6.1516 2.6172 0.0012
0.7085 -0.7053 2.5297
W Si Li
1 1 1
direct
0.6764 0.6764 0.3236
0.3298 0.3298 0.6702
0.9939 0.9939 0.0061

---

It is entry three that is the least stable of them.

---

Entry one
LiSiW (PBE, optimized geometry); spin magnetization = 1.018 μB per formula unit; DOS at the Fermi energy = 0.6271 states/eV per atom
1.0
-0.1514 4.0063 0.7764
-2.5188 2.4003 -2.1378
-3.2977 1.6093 1.7920
Li W Si
1 1 1
direct
0.5000 0.5000 0.5000
0.0000 0.0000 0.0000
0.7500 0.7500 0.7500

---

Entry two
LiSiW (PBE, optimized geometry); spin magnetization = 0.000 μB per formula unit; DOS at the Fermi energy = 0.4932 states/eV per atom
1.0
4.7072 0.0160 -0.0075
2.4903 3.9946 0.0075
-3.2692 -2.5967 2.1743
W Li Si
1 1 1
direct
0.6698 0.6698 0.0000
0.9901 0.9901 0.0000
0.3402 0.3402 0.0000

---

It is entry one that is the least stable of them.

---

Entry one
LiSi2W2 (PBE, optimized geometry); spin magnetization = 0.000 μB per formula unit; DOS at the Fermi energy = 0.2611 states/eV per atom
1.0
4.7029 0.0000 0.0000
0.0000 4.7029 0.0000
2.3515 2.3515 4.0243
Li W Si
1 2 2
direct
0.0000 0.0000 0.0000
0.3505 0.3505 0.2989
0.6495 0.6495 0.7011
0.7500 0.2500 0.5000
0.2500 0.7500 0.5000

---

Entry two
LiSi2W2 (PBE, optimized geometry); spin magnetization = 0.000 μB per formula unit; DOS at the Fermi energy = 0.6564 states/eV per atom
1.0
6.9907 0.0000 0.0000
0.0000 6.9907 0.0000
0.0000 0.0000 3.1007
Si Li W
4 2 4
direct
0.3537 0.1463 0.5000
0.8537 0.3537 0.5000
0.1463 0.6463 0.5000
0.6463 0.8537 0.5000
0.0000 0.0000 0.0000
0.5000 0.5000 0.0000
0.8538 0.6462 0.0000
0.3538 0.8538 0.0000
0.6462 0.1462 0.0000
0.1462 0.3538 0.0000

---

It is entry one that is the least stable of them.

---

Entry one
LiYSi (PBE, optimized geometry); spin magnetization = 0.000 μB per formula unit; DOS at the Fermi energy = 0.1687 states/eV per atom
1.0
2.5139 0.0000 7.3397
-1.2569 2.1771 7.3397
-1.2569 -2.1771 7.3397
Li Si Y
2 2 2
direct
0.6336 0.6336 0.6336
0.3664 0.3664 0.3664
0.0000 0.0000 0.0000
0.5000 0.5000 0.5000
0.2328 0.2328 0.2328
0.7672 0.7672 0.7672

---

Entry two
LiYSi (PBE, optimized geometry); spin magnetization = 0.000 μB per formula unit; DOS at the Fermi energy = 0.5257 states/eV per atom
1.0
-4.0760 -2.7738 2.7658
3.4658 -3.0051 2.0940
0.0421 -0.3758 5.4625
Si Li Y
2 2 2
direct
0.5000 0.5000 0.5000
0.0000 0.5000 0.5000
0.0000 0.5000 0.0000
0.0000 0.0000 0.0000
0.6265 0.8765 0.7470
0.3735 0.1235 0.2530

---

Entry three
LiYSi (PBE, optimized geometry); spin magnetization = 0.000 μB per formula unit; DOS at the Fermi energy = 0.1051 states/eV per atom
1.0
4.2666 -2.4633 0.0000
0.0000 4.9267 0.0000
0.0000 0.0000 5.8853
Li Si Y
2 2 2
direct
0.0000 0.0000 0.5000
0.0000 0.0000 0.0000
0.6667 0.3333 0.7500
0.3333 0.6667 0.2500
0.3333 0.6667 0.7500
0.6667 0.3333 0.2500

---

Entry four
LiYSi (PBE, optimized geometry); spin magnetization = 0.000 μB per formula unit; DOS at the Fermi energy = 1.4623 states/eV per atom
1.0
2.3284 4.4834 2.1938
-5.0917 -1.4717 1.4980
4.0172 -5.9214 7.8376
Si Y Li
2 2 2
direct
0.0000 0.0000 0.0000
0.0000 0.0000 0.5000
0.0000 0.0000 0.2500
0.0000 0.0000 0.7500
0.6667 0.3333 0.7500
0.3333 0.6667 0.2500

---

It is entry four that is the least stable of them.